Record 1
Entry from the Alexandria database: a relaxed structure of SeS8O2 (PBE).

Its formation energy without anion corrections is -0.05 eV per atom. As for the space group: P-1. Its volume is 23.56 Å³ per atom.

Cell: 4.403 5.963 10.687 Å, 76.69 81.60 72.29°
Element x y z (fractional)
Se 0.000 0.000 0.000
S 0.006 0.752 0.350
S 0.028 0.371 0.081
S 0.307 0.102 0.781
S 0.485 0.551 0.242
S 0.515 0.449 0.758
S 0.693 0.898 0.219
S 0.972 0.629 0.919
S 0.994 0.248 0.650
O 0.354 0.607 0.645
O 0.646 0.393 0.355

=====

Record 2
Entry from the Alexandria database: a relaxed structure of Se2SO6 (PBE).

Its formation energy without anion corrections is -0.78 eV per atom. As for the space group: Pc. Its volume is 20.83 Å³ per atom.

Cell: 4.575 4.528 18.339 Å, 90.00 99.29 90.00°
Element x y z (fractional)
Se 0.000 0.082 0.000
Se 0.000 0.918 0.500
Se 0.137 0.417 0.629
Se 0.137 0.583 0.129
S 0.558 0.384 0.321
S 0.558 0.616 0.821
O 0.065 0.196 0.100
O 0.065 0.804 0.600
O 0.087 0.304 0.530
O 0.087 0.696 0.030
O 0.455 0.099 0.292
O 0.455 0.901 0.792
O 0.494 0.410 0.656
O 0.494 0.590 0.156
O 0.641 0.086 0.978
O 0.641 0.914 0.478
O 0.870 0.410 0.353
O 0.870 0.590 0.853